Here is a geometry-optimized PaV3Si2 structure from Alexandria. Energies are from PBE.

abc: 7.0146 7.0146 7.8785
angles: 115.41 115.41 34.16
Closest atoms and distances in Å follow each position.
Sites, in units of the cell vectors:
Pa (0.1518, 0.1518, 0.0554)  7 Si 2.97-3.05, 3 V 3.16-3.33
Pa (0.8482, 0.8482, 0.9446)  7 Si 2.97-3.05, 3 V 3.16-3.33
V (0.0425, 0.0425, 0.3633)  3 Si 2.49-2.56, 4 V 2.56-2.69
V (0.3129, 0.3129, 0.5225)  4 Si 2.44-2.70, 5 V 2.49-2.69
V (0.4225, 0.4225, 0.3371)  3 Si 2.38-2.48, 4 V 2.47-2.56
V (0.5775, 0.5775, 0.6629)  3 Si 2.38-2.48, 4 V 2.47-2.56
V (0.6871, 0.6871, 0.4775)  4 Si 2.44-2.70, 5 V 2.49-2.69
V (0.9575, 0.9575, 0.6367)  3 Si 2.49-2.56, 4 V 2.56-2.69
Si (0.1887, 0.1887, 0.7001)  6 V 2.48-2.70
Si (0.4718, 0.4718, 0.8383)  1 Si 2.31, 4 V 2.38-2.56
Si (0.5282, 0.5282, 0.1617)  1 Si 2.31, 4 V 2.38-2.56
Si (0.8113, 0.8113, 0.2999)  6 V 2.48-2.70

Values from the calculation:
ΔE_f (raw)   -42.7 kJ per mole of atoms
Space-group type   C2/m, No. 12
Spin magnetization   0.00 μB/f.u.

Here is a geometry-optimized Eu2BiN structure from Alexandria. Energies are from PBE.

abc: 3.2908 3.2908 8.3601
angles: 90.00 90.00 90.00
Closest atoms and distances in Å follow each position.
Sites, in units of the cell vectors:
Eu (0.0000, 0.0000, 0.1697)  4 N 2.73, 1 Eu 2.84
Eu (0.0000, 0.0000, 0.8303)  4 N 2.73, 1 Eu 2.84
Bi (0.5000, 0.5000, 0.5000)  4 Bi 3.29, 8 Eu 3.61
N (0.5000, 0.5000, 0.0000)  8 Eu 2.73

Values from the calculation:
ΔE_f (raw)   -54.3 kJ per mole of atoms
Space-group type   P4/mmm, No. 123
Spin magnetization   13.67 μB/f.u.
Distance to the lowest polymorph of the same formula   294.3 meV/atom